Here is crystalline TaMn2Os at its relaxed geometry from Alexandria. Energies are from PBE.

The mass density comes out at 13.76 g/cm3. As for the formation enthalpy at 0 K: 0.2369 eV per atom. The final energy is -40.474 eV for the cell shown. Its space-group type is R-3m (166).

The structure in CIF format:
```
data_TaMn2Os
_chemical_formula_sum 'Ta1 Mn2 Os1'
_cell_length_a 8.864
_cell_length_b 8.864
_cell_length_c 8.864
_cell_angle_alpha 18.00
_cell_angle_beta 18.00
_cell_angle_gamma 18.00
_space_group_name_H-M_alt 'P 1'
_space_group_IT_number 1
_space_group_name_Hall 'P 1'
loop_
_atom_site_label
_atom_site_type_symbol
_atom_site_fract_x
_atom_site_fract_y
_atom_site_fract_z
Ta1 Ta 0.000 0.000 0.000
Mn1 Mn 0.246 0.246 0.246
Mn2 Mn 0.754 0.754 0.754
Os1 Os 0.500 0.500 0.500
```